[1]
Density functional theory data (GGA-PBE) for Ba3CeZn2O8 after structural relaxation.

Calculated values
**Raw formation energy**: -2.1461 eV/atom
**E_tot**: -6.00 eV per atom
**DOS(E_F)**: 0.70 states/eV/atom

Cell and atoms, written as POSCAR:
```
Ba3CeZn2O8
1.0
6.059 0.000 0.000
-3.029 5.247 0.000
0.000 0.000 7.724
Ba Ce Zn O
3 1 2 8
direct
0.000 0.000 0.000
0.333 0.667 0.645
0.667 0.333 0.355
0.000 0.000 0.500
0.333 0.667 0.208
0.667 0.333 0.792
0.167 0.334 0.326
0.167 0.833 0.326
0.333 0.667 0.969
0.334 0.167 0.674
0.666 0.833 0.326
0.667 0.333 0.031
0.833 0.167 0.674
0.833 0.666 0.674
```



[2]
Density functional theory data (GGA-PBE) for BaAc2PrIn4 after structural relaxation.

Calculated values
**ΔE_f**: -0.395 eV/atom
**E_tot**: -3.63 eV per atom
**DOS(E_F)**: 0.78 states/eV/atom

Cell and atoms, written as POSCAR:
```
BaAc2PrIn4
1.0
2.892 1.670 9.468
-2.892 1.670 9.468
0.000 -3.339 9.468
Ba Ac Pr In
1 2 1 4
direct
0.000 0.000 0.000
0.252 0.252 0.252
0.748 0.748 0.748
0.500 0.500 0.500
0.129 0.129 0.129
0.380 0.380 0.380
0.620 0.620 0.620
0.871 0.871 0.871
```



Going through the records in order, we get size of the total moment values of 0.15, 0.00 μB per atom.